1.
LiTaTl2: relaxed, PBE-GGA.

## Properties
Uncorrected energy   -4.2228 eV/atom
Formation enthalpy at 0 K   402 meV per atom

a = 3.0728 Å, b = 5.0159 Å, c = 5.7776 Å
α = 90.00°, β = 90.00°, γ = 90.00°
With the nearest neighbours (Å) after each atom.
Sites, in units of the cell vectors:
Li (0.0000, 0.0000, 0.0000)  1 Tl 2.66
Ta (0.5000, 0.5000, 0.3843)  6 Tl 2.86-2.97, 2 Ta 3.07
Tl (0.0000, 0.0000, 0.4607)  1 Li 2.66, 4 Ta 2.97
Tl (0.5000, 0.5000, 0.8893)  2 Ta 2.86-2.92, 4 Li 3.01, 2 Tl 3.07

2.
LiTaTl2: relaxed, PBE-GGA.

## Properties
Uncorrected energy   -4.3035 eV/atom
Formation enthalpy at 0 K   321 meV per atom

a = 3.0838 Å, b = 3.9544 Å, c = 6.6522 Å
α = 90.00°, β = 90.00°, γ = 90.00°
With the nearest neighbours (Å) after each atom.
Sites, in units of the cell vectors:
Li (0.0000, 0.0000, 0.0000)  8 Tl 2.97, 2 Li 3.08
Ta (0.0000, 0.0000, 0.5000)  8 Tl 3.05, 2 Ta 3.08, 2 Li 3.33
Tl (0.5000, 0.5000, 0.2382)  4 Li 2.97, 4 Ta 3.05, 3 Tl 3.08-3.17
Tl (0.5000, 0.5000, 0.7618)  4 Li 2.97, 4 Ta 3.05, 3 Tl 3.08-3.17

3.
LiTaTl2: relaxed, PBE-GGA.

## Properties
Uncorrected energy   -4.3713 eV/atom
Formation enthalpy at 0 K   253 meV per atom

a = 5.1860 Å, b = 5.1860 Å, c = 3.0948 Å
α = 90.00°, β = 90.00°, γ = 99.94°
With the nearest neighbours (Å) after each atom.
Sites, in units of the cell vectors:
Li (0.0000, 0.0000, 0.0000)  8 Tl 3.02, 2 Li 3.09, 2 Ta 3.34
Ta (0.5000, 0.5000, 0.0000)  8 Tl 3.02, 2 Ta 3.09, 2 Li 3.34
Tl (0.0000, 0.5000, 0.5000)  4 Ta 3.02, 4 Li 3.02, 4 Tl 3.09-3.34
Tl (0.5000, 0.0000, 0.5000)  4 Ta 3.02, 4 Li 3.02, 4 Tl 3.09-3.34